1.
Here is a relaxed structure of LaSi2Br from Alexandria. Energies are from PBE.

Results
Energy above the most stable polymorph in this dataset (meV/atom): 211
Final energy (Ry per atom): -0.3603
Uncorrected formation energy (eV/atom): -0.54

abc: 4.4020 3.9464 6.1273
angles: 90.00 110.55 90.00
Space group Pm (No. 6)
Inequivalent atoms, fractional coordinates:
La 0.0000 0.0000 0.0000 (multiplicity 1)
Si 0.0795 0.5000 0.6452 (multiplicity 1)
Si 0.3317 0.0000 0.5802 (multiplicity 1)
Br 0.5868 0.5000 0.1841 (multiplicity 1)


2.
Here is a relaxed structure of Hf5Sn3 from Alexandria. Energies are from PBE.

Results
Energy above the most stable polymorph in this dataset (meV/atom): 0
Final energy (Ry per atom): -0.5959
Calculated formation energy (eV/atom): -0.39

abc: 8.4366 8.4366 5.7249
angles: 90.00 90.00 120.00
Space group P6_3/mcm (No. 193)
Inequivalent atoms, fractional coordinates:
Hf 0.0000 0.2450 0.2500 (multiplicity 6)
Hf 0.3333 0.6667 0.0000 (multiplicity 4)
Sn 0.0000 0.3930 0.7500 (multiplicity 6)


3.
Here is a relaxed structure of Mn2ReOs from Alexandria. Energies are from PBE.

Results
Final energy (Ry per atom): -0.7615
Calculated formation energy (eV/atom): 0.14

abc: 2.9122 2.9122 6.0602
angles: 90.00 90.00 90.00
Space group P4mm (No. 99)
Inequivalent atoms, fractional coordinates:
Mn 0.0000 0.0000 0.0000 (multiplicity 1)
Mn 0.5000 0.5000 0.1526 (multiplicity 1)
Re 0.5000 0.5000 0.7167 (multiplicity 1)
Os 0.0000 0.0000 0.4373 (multiplicity 1)


4.
Here is a relaxed structure of LiInTc3 from Alexandria. Energies are from PBE.

Results
Energy above the most stable polymorph in this dataset (meV/atom): 1124
Final energy (Ry per atom): -0.3622
Calculated formation energy (eV/atom): 2.22

abc: 5.0980 5.0980 5.0980
angles: 90.00 90.00 90.00
Space group Pm-3m (No. 221)
Inequivalent atoms, fractional coordinates:
Li 0.0000 0.0000 0.0000 (multiplicity 1)
In 0.5000 0.5000 0.5000 (multiplicity 1)
Tc 0.0000 0.5000 0.5000 (multiplicity 3)


5.
Here is a relaxed structure of Na4LiHg15 from Alexandria. Energies are from PBE.

Results
Final energy (Ry per atom): -0.0558
Calculated formation energy (eV/atom): -0.17

abc: 4.6742 4.6742 23.3547
angles: 90.00 90.00 90.00
Space group P4/mmm (No. 123)
Inequivalent atoms, fractional coordinates:
Na 0.0000 0.0000 0.1015 (multiplicity 2)
Na 0.0000 0.0000 0.3053 (multiplicity 2)
Li 0.0000 0.0000 0.5000 (multiplicity 1)
Hg 0.0000 0.5000 0.0000 (multiplicity 2)
Hg 0.0000 0.5000 0.2032 (multiplicity 4)
Hg 0.0000 0.5000 0.4065 (multiplicity 4)
Hg 0.5000 0.5000 0.1016 (multiplicity 2)
Hg 0.5000 0.5000 0.3053 (multiplicity 2)
Hg 0.5000 0.5000 0.5000 (multiplicity 1)


6.
Here is a relaxed structure of Nd2Y4Ho from Alexandria. Energies are from PBE.

Results
Energy above the most stable polymorph in this dataset (meV/atom): 113
Final energy (Ry per atom): -0.4079
Calculated formation energy (eV/atom): 0.16

abc: 5.6790 9.8132 16.7325
angles: 90.00 90.00 90.00
Space group Cmcm (No. 63)
Inequivalent atoms, fractional coordinates:
Nd 0.0000 0.1659 0.0564 (multiplicity 8)
Y 0.0000 0.1655 0.2500 (multiplicity 4)
Y 0.0000 0.1677 0.6481 (multiplicity 8)
Y 0.0000 0.5000 0.0000 (multiplicity 4)
Ho 0.0000 0.4989 0.2500 (multiplicity 4)